Record 1
Below is a geometry-optimized Li4FeW3N8 structure, with properties calculated at the PBE level.

* raw formation energy: -435 meV/atom
* density: 8.02 g/cm³
* Fermi-level density of states: 8.12 states/eV per cell
* DFT total energy: -8.0335 eV/atom

Unit cell a=6.1554 b=6.1554 c=6.1554 alpha=57.29 beta=57.29 gamma=57.29
Closest atoms and distances in Å follow each position.
Fractional positions:
Li 0.0000 0.0000 0.0000  6 N 2.21
Li 0.0000 0.5000 0.5000  6 N 2.19-2.22
Li 0.5000 0.0000 0.5000  6 N 2.19-2.22
Li 0.5000 0.5000 0.0000  6 N 2.19-2.22
Fe 0.5000 0.5000 0.5000  6 N 2.06
W 0.0000 0.0000 0.5000  6 N 2.05-2.07
W 0.0000 0.5000 0.0000  6 N 2.05-2.07
W 0.5000 0.0000 0.0000  6 N 2.05-2.07
N 0.2397 0.7415 0.7415  2 W 2.05, 1 Fe 2.06, 3 Li 2.21-2.22
N 0.2437 0.2437 0.2437  3 W 2.07, 3 Li 2.19
N 0.2585 0.2585 0.7603  2 W 2.05, 1 Fe 2.06, 3 Li 2.21-2.22
N 0.2585 0.7603 0.2585  2 W 2.05, 1 Fe 2.06, 3 Li 2.21-2.22
N 0.7415 0.2397 0.7415  2 W 2.05, 1 Fe 2.06, 3 Li 2.21-2.22
N 0.7415 0.7415 0.2397  2 W 2.05, 1 Fe 2.06, 3 Li 2.21-2.22
N 0.7563 0.7563 0.7563  3 W 2.07, 3 Li 2.19
N 0.7603 0.2585 0.2585  2 W 2.05, 1 Fe 2.06, 3 Li 2.21-2.22

Record 2
Below is a geometry-optimized LiY2FeN structure, with properties calculated at the PBE level.

* raw formation energy: -567 meV/atom
* density: 4.80 g/cm³
* Fermi-level density of states: 2.38 states/eV per cell
* DFT total energy: -6.8925 eV/atom

Unit cell a=4.9364 b=4.9364 c=3.6123 alpha=90.00 beta=90.00 gamma=90.00
Closest atoms and distances in Å follow each position.
Fractional positions:
Li 0.0000 0.0000 0.0000  8 Y 3.06
Y 0.0000 0.5000 0.5000  2 N 2.47
Y 0.5000 0.0000 0.5000  2 N 2.47
Fe 0.5000 0.5000 0.0000  2 N 1.81
N 0.5000 0.5000 0.5000  2 Fe 1.81

Record 3
Below is a geometry-optimized NaLi2Fe structure, with properties calculated at the PBE level.

* ΔH_f (0 K): 15.29 kcal/mol of atoms
* density: 1.96 g/cm³
* Fermi-level density of states: 7.49 states/eV per cell
* DFT total energy: -2.7394 eV/atom
* energy relative to the lowest polymorph listed for this composition: 0.50 eV/f.u.

Unit cell a=5.9446 b=5.9446 c=5.9446 alpha=104.03 beta=104.03 gamma=121.01
Closest atoms and distances in Å follow each position.
Fractional positions:
Na 0.0000 0.0000 0.0000  4 Li 2.79, 2 Fe 2.93
Na 0.7500 0.2500 0.5000  4 Li 2.79, 2 Fe 2.93
Li 0.1458 0.6250 0.0208  2 Fe 2.59, 2 Na 2.79
Li 0.3750 0.3958 0.5208  2 Fe 2.59, 2 Na 2.79
Li 0.6042 0.1250 0.9792  2 Fe 2.59, 2 Na 2.79
Li 0.8750 0.8542 0.4792  2 Fe 2.59, 2 Na 2.79
Fe 0.2500 0.7500 0.5000  4 Li 2.59
Fe 0.5000 0.5000 0.0000  4 Li 2.59

Record 4
Below is a geometry-optimized NaLiFe structure, with properties calculated at the PBE level.

* ΔH_f (0 K): 9.07 kcal/mol of atoms
* density: 2.43 g/cm³
* Fermi-level density of states: 3.96 states/eV per cell
* DFT total energy: -3.5053 eV/atom
* energy relative to the lowest polymorph listed for this composition: 0.05 eV/f.u.

Unit cell a=5.7667 b=5.7667 c=7.6554 alpha=108.19 beta=108.19 gamma=29.17
Closest atoms and distances in Å follow each position.
Fractional positions:
Na 0.0000 0.0000 0.0000  1 Li 2.90, 2 Na 2.90, 3 Fe 3.10-3.17
Na 0.6873 0.6873 0.7680  2 Na 2.90, 2 Li 3.24
Li 0.0071 0.0071 0.3818  4 Fe 2.76-2.79, 4 Li 2.83-2.90, 1 Na 2.90
Li 0.3679 0.3679 0.5692  3 Fe 2.63-2.84, 4 Li 2.83-2.90
Fe 0.2990 0.2990 0.1780  2 Fe 2.28
Fe 0.7027 0.7027 0.3193  2 Fe 2.28

> What is the formula in the third record?

NaLi2Fe